The following is a DFT calculation (GGA-PBE) of K5Tl2S5 after structural relaxation.

abc: 4.385 7.549 12.238
angles: 106.64 90.00 106.88
Fractional positions:
S: 0.107 0.214 0.388
S: 0.657 0.314 0.796
S: 0.343 0.686 0.204
S: 0.000 0.000 0.000
S: 0.893 0.786 0.612
K: 0.660 0.320 0.060
K: 0.500 0.000 0.500
K: 0.754 0.508 0.361
K: 0.246 0.492 0.639
K: 0.340 0.680 0.940
Tl: 0.037 0.073 0.795
Tl: 0.963 0.927 0.205

Output
* raw total energy: -3.3849 eV per atom
* density of states at the Fermi level: 5.13 states/eV/cell
* formation energy (no corrections): -0.81 eV per atom